# Cs2ScCoO4

An optimized crystal structure of Cs2ScCoO4 (GGA+U, Alexandria).

Output
**Total magnetization**: 0.502 μB per atom
**Total DFT energy (no corrections)**: -5.921 eV/atom

CIF file:
```
data_Cs2ScCoO4
_chemical_formula_sum 'Cs16 Sc8 Co8 O32'
_cell_length_a 5.4008
_cell_length_b 12.7510
_cell_length_c 22.4533
_cell_angle_alpha 90.00
_cell_angle_beta 90.00
_cell_angle_gamma 90.00
_symmetry_space_group_name_H-M 'F d d d'
_symmetry_Int_Tables_number 70
loop_
_symmetry_equiv_pos_as_xyz
'x,y,z'
'-x,-y,-z'
'-x+1/4,-y+1/4,z'
'x+1/4,y+1/4,-z'
'x,-y+1/4,-z+1/4'
'-x,y+1/4,z+1/4'
'-x+1/4,y,-z+1/4'
'x+1/4,-y,z+1/4'
'x,y+1/2,z+1/2'
'-x,-y+1/2,-z+1/2'
'-x+1/4,-y+3/4,z+1/2'
'x+1/4,y+3/4,-z+1/2'
'x,-y+3/4,-z+3/4'
'-x,y+3/4,z+3/4'
'-x+1/4,y+1/2,-z+3/4'
'x+1/4,-y+1/2,z+3/4'
'x+1/2,y,z+1/2'
'-x+1/2,-y,-z+1/2'
'-x+3/4,-y+1/4,z+1/2'
'x+3/4,y+1/4,-z+1/2'
'x+1/2,-y+1/4,-z+3/4'
'-x+1/2,y+1/4,z+3/4'
'-x+3/4,y,-z+3/4'
'x+3/4,-y,z+3/4'
'x+1/2,y+1/2,z'
'-x+1/2,-y+1/2,-z'
'-x+3/4,-y+3/4,z'
'x+3/4,y+3/4,-z'
'x+1/2,-y+3/4,-z+1/4'
'-x+1/2,y+3/4,z+1/4'
'-x+3/4,y+1/2,-z+1/4'
'x+3/4,-y+1/2,z+1/4'
loop_
_atom_site_label
_atom_site_fract_x
_atom_site_fract_y
_atom_site_fract_z
Cs1 0.1250 0.1250 0.3021
Sc1 0.1250 0.1250 0.1250
Co1 0.1250 0.1250 0.6250
O1 0.1139 0.2928 0.8343
```